Entry from Alexandria via LeMat-Bulk: a relaxed structure of CdPbS2 (PBE-GGA).

- Total moment: 0.00 Bohr magnetons per cell
- E_tot: -3.693 eV/atom
- Formation energy (no corrections): -0.473 eV per atom

a b c (Å): 4.2488 4.2488 7.8273
angles (deg): 90.00 90.00 120.00
Space group P3m1 (No. 156)
Symmetry-distinct sites (fractional):
1 Cd 0.0000 0.0000 0.0000 [1 per cell]
2 Pb 0.6667 0.3333 0.5047 [1 per cell]
3 S 0.0000 0.0000 0.3363 [1 per cell]
4 S 0.6667 0.3333 0.9022 [1 per cell]

---

Entry from Alexandria via LeMat-Bulk: a relaxed structure of LaMoPb (PBE-GGA).

- Total moment: 1.84 Bohr magnetons per cell
- Relative energy among the computed polymorphs: 0 meV/atom
- E_tot: -6.163 eV/atom
- E_form: 0.326 eV/atom

a b c (Å): 3.6816 3.6816 11.3438
angles (deg): 90.00 90.00 90.00
Space group I4mm (No. 107)
Symmetry-distinct sites (fractional):
1 La 0.0000 0.0000 0.0000 [2 per cell]
2 Mo 0.0000 0.0000 0.6782 [2 per cell]
3 Pb 0.0000 0.0000 0.2918 [2 per cell]

---

Entry from Alexandria via LeMat-Bulk: a relaxed structure of NpMnAu2 (PBE-GGA).

- Total moment: 8.65 Bohr magnetons per cell
- E_tot: -7.203 eV/atom
- E_form: -0.036 eV/atom

a b c (Å): 3.1530 3.1530 7.7850
angles (deg): 90.00 90.00 90.00
Space group P4/mmm (No. 123)
Symmetry-distinct sites (fractional):
1 Np 0.0000 0.0000 0.0000 [1 per cell]
2 Mn 0.0000 0.0000 0.5000 [1 per cell]
3 Au 0.5000 0.5000 0.2899 [2 per cell]

---

Entry from Alexandria via LeMat-Bulk: a relaxed structure of Pm6Ho3Er2 (PBE-GGA).

- Total moment: 0.00 Bohr magnetons per cell
- Relative energy among the computed polymorphs: 0 meV/atom
- E_tot: -4.654 eV/atom
- E_form: 0.015 eV/atom

a b c (Å): 3.5923 3.5923 96.1880
angles (deg): 90.00 90.00 120.00
Space group R-3m (No. 166, hexagonal axes)
Symmetry-distinct sites (fractional):
1 Pm 0.0000 0.0000 0.0908 [6 per cell]
2 Pm 0.0000 0.0000 0.1823 [6 per cell]
3 Pm 0.0000 0.0000 0.3636 [6 per cell]
4 Ho 0.0000 0.0000 0.0000 [3 per cell]
5 Ho 0.0000 0.0000 0.2729 [6 per cell]
6 Er 0.0000 0.0000 0.4542 [6 per cell]

---

Entry from Alexandria via LeMat-Bulk: a relaxed structure of PmNdSc2Se4 (PBE-GGA).

- Total moment: 0.00 Bohr magnetons per cell
- E_tot: -6.218 eV/atom
- Formation energy (no corrections): -1.703 eV per atom

a b c (Å): 6.9300 3.9788 7.1644
angles (deg): 90.00 108.68 90.00
Space group P2/m (No. 10)
Symmetry-distinct sites (fractional):
1 Pm 0.0000 0.0000 0.0000 [1 per cell]
2 Nd 0.5000 0.5000 0.0000 [1 per cell]
3 Sc 0.0000 0.5000 0.5000 [1 per cell]
4 Sc 0.5000 0.0000 0.5000 [1 per cell]
5 Se 0.2391 0.0000 0.7215 [2 per cell]
6 Se 0.2582 0.5000 0.2776 [2 per cell]

---

Entry from Alexandria via LeMat-Bulk: a relaxed structure of CrMoRh6 (PBE-GGA).

- Total moment: 1.76 Bohr magnetons per cell
- E_tot: -8.242 eV/atom
- E_form: -0.172 eV/atom

a b c (Å): 5.4221 5.4221 3.8465
angles (deg): 90.00 90.00 90.00
Space group P4/mmm (No. 123)
Symmetry-distinct sites (fractional):
1 Cr 0.0000 0.0000 0.0000 [1 per cell]
2 Mo 0.5000 0.5000 0.0000 [1 per cell]
3 Rh 0.0000 0.5000 0.0000 [2 per cell]
4 Rh 0.2497 0.2497 0.5000 [4 per cell]

---

Entry from Alexandria via LeMat-Bulk: a relaxed structure of MgAu3N (PBE-GGA).

- Total moment: 2.81 Bohr magnetons per cell
- Relative energy among the computed polymorphs: 954 meV/atom
- E_tot: -2.455 eV/atom
- Formation energy (no corrections): 1.496 eV per atom

a b c (Å): 5.0690 5.0690 5.0690
angles (deg): 90.00 90.00 90.00
Space group Pm-3m (No. 221)
Symmetry-distinct sites (fractional):
1 Mg 0.0000 0.0000 0.0000 [1 per cell]
2 Au 0.0000 0.0000 0.5000 [3 per cell]
3 N 0.5000 0.5000 0.5000 [1 per cell]

---

Entry from Alexandria via LeMat-Bulk: a relaxed structure of CaBPd3 (PBE-GGA).

- Total moment: 0.00 Bohr magnetons per cell
- E_tot: -5.059 eV/atom
- E_form: -0.207 eV/atom

a b c (Å): 7.5525 7.5525 10.4329
angles (deg): 90.00 90.00 120.00
Space group R-3c (No. 167, hexagonal axes)
Symmetry-distinct sites (fractional):
1 Ca 0.0000 0.0000 0.0000 [6 per cell]
2 B 0.0000 0.0000 0.2500 [6 per cell]
3 Pd 0.0000 0.2600 0.2500 [18 per cell]

---

Entry from Alexandria via LeMat-Bulk: a relaxed structure of CrCuTc2Os (PBE-GGA).

- Total moment: 0.78 Bohr magnetons per cell
- E_tot: -7.531 eV/atom
- E_form: 1.605 eV/atom

a b c (Å): 4.3077 4.3077 4.3333
angles (deg): 90.00 90.00 90.00
Space group P4/mmm (No. 123)
Symmetry-distinct sites (fractional):
1 Cr 0.0000 0.0000 0.0000 [1 per cell]
2 Cu 0.0000 0.0000 0.5000 [1 per cell]
3 Tc 0.0000 0.5000 0.0000 [2 per cell]
4 Os 0.5000 0.5000 0.5000 [1 per cell]

---

Entry from Alexandria via LeMat-Bulk: a relaxed structure of Mg2Bi (PBE-GGA).

- Total moment: 0.00 Bohr magnetons per cell
- E_tot: -2.388 eV/atom
- E_form: -0.032 eV/atom

a b c (Å): 5.7604 5.7604 16.3856
angles (deg): 90.00 90.00 120.00
Space group R32 (No. 155, hexagonal axes)
Symmetry-distinct sites (fractional):
1 Mg 0.0000 0.0000 0.0000 [3 per cell]
2 Mg 0.0000 0.3528 0.5000 [9 per cell]
3 Bi 0.0000 0.0000 0.3479 [6 per cell]

---

Entry from Alexandria via LeMat-Bulk: a relaxed structure of Y2PuAu4 (PBE-GGA).

- Total moment: 6.04 Bohr magnetons per cell
- E_tot: -6.290 eV/atom
- E_form: -0.523 eV/atom

a b c (Å): 5.1644 5.1644 6.5606
angles (deg): 90.00 90.00 90.00
Space group P4/mmm (No. 123)
Symmetry-distinct sites (fractional):
1 Y 0.0000 0.0000 0.0000 [1 per cell]
2 Y 0.5000 0.5000 0.5000 [1 per cell]
3 Pu 0.0000 0.0000 0.5000 [1 per cell]
4 Au 0.0000 0.5000 0.2421 [4 per cell]

---

Entry from Alexandria via LeMat-Bulk: a relaxed structure of NaAc2P (PBE-GGA).

- Total moment: 0.67 Bohr magnetons per cell
- Relative energy among the computed polymorphs: 0 meV/atom
- E_tot: -4.346 eV/atom
- E_form: -0.610 eV/atom

a b c (Å): 4.2229 4.2229 30.8586
angles (deg): 90.00 90.00 120.00
Space group R-3m (No. 166, hexagonal axes)
Symmetry-distinct sites (fractional):
1 Na 0.0000 0.0000 0.0000 [3 per cell]
2 Ac 0.0000 0.0000 0.2242 [6 per cell]
3 P 0.0000 0.0000 0.5000 [3 per cell]

---

Entry from Alexandria via LeMat-Bulk: a relaxed structure of Tl3InPb4 (PBE-GGA).

- Total moment: 0.00 Bohr magnetons per cell
- Relative energy among the computed polymorphs: 53 meV/atom
- E_tot: -3.026 eV/atom
- E_form: 0.057 eV/atom

a b c (Å): 6.6441 11.2740 6.6677
angles (deg): 90.00 90.00 90.00
Space group Imm2 (No. 44)
Symmetry-distinct sites (fractional):
1 Tl 0.0000 0.0000 0.0000 [2 per cell]
2 Tl 0.0000 0.2514 0.7374 [4 per cell]
3 In 0.0000 0.5000 0.5038 [2 per cell]
4 Pb 0.0000 0.2660 0.2356 [4 per cell]
5 Pb 0.2482 0.5000 0.9898 [4 per cell]

---

Entry from Alexandria via LeMat-Bulk: a relaxed structure of PmPrSc3 (PBE-GGA).

- Total moment: 0.00 Bohr magnetons per cell
- E_tot: -5.638 eV/atom
- E_form: 0.067 eV/atom

a b c (Å): 17.3371 4.9028 6.7798
angles (deg): 90.00 99.38 90.00
Space group C2/m (No. 12)
Symmetry-distinct sites (fractional):
1 Pm 0.0999 0.0000 0.0418 [4 per cell]
2 Pr 0.1991 0.5000 0.3461 [4 per cell]
3 Sc 0.0028 0.5000 0.7438 [4 per cell]
4 Sc 0.0936 0.0000 0.5427 [4 per cell]
5 Sc 0.1966 0.5000 0.8435 [4 per cell]

---

Entry from Alexandria via LeMat-Bulk: a relaxed structure of Cs3VCu (PBE-GGA).

- Total moment: 4.95 Bohr magnetons per cell
- Relative energy among the computed polymorphs: 0 meV/atom
- E_tot: -2.189 eV/atom
- E_form: 0.966 eV/atom

a b c (Å): 6.7899 6.7899 6.7899
angles (deg): 90.00 90.00 90.00
Space group Pm-3m (No. 221)
Symmetry-distinct sites (fractional):
1 Cs 0.0000 0.0000 0.5000 [3 per cell]
2 V 0.5000 0.5000 0.5000 [1 per cell]
3 Cu 0.0000 0.0000 0.0000 [1 per cell]

---

Entry from Alexandria via LeMat-Bulk: a relaxed structure of TmMgSc2Cu4 (PBE-GGA).

- Total moment: 0.00 Bohr magnetons per cell
- E_tot: -4.619 eV/atom
- E_form: -0.230 eV/atom

a b c (Å): 4.6202 4.6202 22.8243
angles (deg): 90.00 90.00 120.00
Space group R-3m (No. 166, hexagonal axes)
Symmetry-distinct sites (fractional):
1 Tm 0.0000 0.0000 0.0000 [3 per cell]
2 Mg 0.0000 0.0000 0.5000 [3 per cell]
3 Sc 0.0000 0.0000 0.2462 [6 per cell]
4 Cu 0.0000 0.0000 0.1250 [6 per cell]
5 Cu 0.0000 0.0000 0.3784 [6 per cell]

---

Entry from Alexandria via LeMat-Bulk: a relaxed structure of CePm2Pb (PBE-GGA).

- Total moment: 2.26 Bohr magnetons per cell
- Relative energy among the computed polymorphs: 350 meV/atom
- E_tot: -4.721 eV/atom
- E_form: 0.064 eV/atom

a b c (Å): 3.4462 3.4462 36.5828
angles (deg): 90.00 90.00 120.00
Space group R-3m (No. 166, hexagonal axes)
Symmetry-distinct sites (fractional):
1 Ce 0.0000 0.0000 0.0000 [3 per cell]
2 Pm 0.0000 0.0000 0.0908 [6 per cell]
3 Pb 0.0000 0.0000 0.5000 [3 per cell]

---

Entry from Alexandria via LeMat-Bulk: a relaxed structure of Cs2PrAgF6 (PBE-GGA).

- Total moment: 0.04 Bohr magnetons per cell
- E_tot: -4.960 eV/atom
- Formation energy (no corrections): -2.903 eV per atom

a b c (Å): 9.5918 9.5918 9.5918
angles (deg): 90.00 90.00 90.00
Space group Fm-3m (No. 225)
Symmetry-distinct sites (fractional):
1 Cs 0.2500 0.2500 0.2500 [8 per cell]
2 Pr 0.0000 0.0000 0.0000 [4 per cell]
3 Ag 0.0000 0.0000 0.5000 [4 per cell]
4 F 0.0000 0.0000 0.2400 [24 per cell]

---

Entry from Alexandria via LeMat-Bulk: a relaxed structure of P3Au4 (PBE-GGA).

- Total moment: 0.00 Bohr magnetons per cell
- E_tot: -3.821 eV/atom
- E_form: 0.370 eV/atom

a b c (Å): 3.5059 3.5059 21.6370
angles (deg): 90.00 90.00 90.00
Space group I4/mmm (No. 139)
Symmetry-distinct sites (fractional):
1 P 0.0000 0.0000 0.0000 [2 per cell]
2 P 0.0000 0.0000 0.3216 [4 per cell]
3 Au 0.0000 0.0000 0.1506 [4 per cell]
4 Au 0.0000 0.0000 0.4372 [4 per cell]

---

Entry from Alexandria via LeMat-Bulk: a relaxed structure of AcDy12Sc7 (PBE-GGA).

- Total moment: 6.46 Bohr magnetons per cell
- E_tot: -5.003 eV/atom
- E_form: 0.180 eV/atom

a b c (Å): 14.7199 14.7199 9.5674
angles (deg): 90.00 90.00 120.00
Space group R-3 (No. 148, hexagonal axes)
Symmetry-distinct sites (fractional):
1 Ac 0.0000 0.0000 0.0000 [3 per cell]
2 Dy 0.0388 0.7835 0.5829 [18 per cell]
3 Dy 0.0419 0.8481 0.2586 [18 per cell]
4 Sc 0.0000 0.0000 0.5000 [3 per cell]
5 Sc 0.0726 0.8233 0.9305 [18 per cell]

---

Entry from Alexandria via LeMat-Bulk: a relaxed structure of Y3Tm4Pu (PBE-GGA).

- Total moment: 13.30 Bohr magnetons per cell
- E_tot: -5.991 eV/atom
- E_form: 0.460 eV/atom

a b c (Å): 11.6403 13.0834 3.3327
angles (deg): 90.00 90.00 90.00
Space group Cmmm (No. 65)
Symmetry-distinct sites (fractional):
1 Y 0.0000 0.0000 0.0000 [2 per cell]
2 Y 0.2500 0.2500 0.5000 [4 per cell]
3 Tm 0.0000 0.2596 0.0000 [4 per cell]
4 Tm 0.2362 0.5000 0.5000 [4 per cell]
5 Pu 0.0000 0.5000 0.0000 [2 per cell]

---

Entry from Alexandria via LeMat-Bulk: a relaxed structure of YTe2Ru (PBE-GGA).

- Total moment: 0.00 Bohr magnetons per cell
- Relative energy among the computed polymorphs: 413 meV/atom
- E_tot: -5.608 eV/atom
- Formation energy (no corrections): -0.102 eV per atom

a b c (Å): 3.7991 3.7991 27.4964
angles (deg): 90.00 90.00 120.00
Space group R-3m (No. 166, hexagonal axes)
Symmetry-distinct sites (fractional):
1 Y 0.0000 0.0000 0.0000 [3 per cell]
2 Te 0.0000 0.0000 0.1116 [6 per cell]
3 Ru 0.0000 0.0000 0.5000 [3 per cell]

---

Entry from Alexandria via LeMat-Bulk: a relaxed structure of Li2TlSe (PBE-GGA).

- Total moment: 0.00 Bohr magnetons per cell
- E_tot: -2.882 eV/atom
- Formation energy (no corrections): -0.463 eV per atom

a b c (Å): 3.7859 3.7859 5.7208
angles (deg): 90.00 90.00 90.00
Space group P4mm (No. 99)
Symmetry-distinct sites (fractional):
1 Li 0.0000 0.0000 0.0000 [1 per cell]
2 Li 0.5000 0.5000 0.3063 [1 per cell]
3 Tl 0.5000 0.5000 0.7892 [1 per cell]
4 Se 0.0000 0.0000 0.4410 [1 per cell]

---

Entry from Alexandria via LeMat-Bulk: a relaxed structure of BiOs (PBE-GGA).

- Total moment: 0.40 Bohr magnetons per cell
- Relative energy among the computed polymorphs: 504 meV/atom
- E_tot: -6.341 eV/atom
- E_form: 1.214 eV/atom

a b c (Å): 6.8236 6.8236 4.9528
angles (deg): 90.00 90.00 90.00
Space group P4_2/mnm (No. 136)
Symmetry-distinct sites (fractional):
1 Bi 0.2274 0.2274 0.0000 [4 per cell]
2 Os 0.1173 0.1173 0.5000 [4 per cell]

---

Entry from Alexandria via LeMat-Bulk: a relaxed structure of Tm2Be2ZnRh5 (PBE-GGA).

- Total moment: 0.00 Bohr magnetons per cell
- E_tot: -6.217 eV/atom
- E_form: -0.774 eV/atom

a b c (Å): 9.5750 9.5750 3.2017
angles (deg): 90.00 90.00 90.00
Space group P4/mbm (No. 127)
Symmetry-distinct sites (fractional):
1 Tm 0.1762 0.3238 0.0000 [4 per cell]
2 Be 0.1229 0.6229 0.0000 [4 per cell]
3 Zn 0.0000 0.0000 0.0000 [2 per cell]
4 Rh 0.0000 0.5000 0.5000 [2 per cell]
5 Rh 0.0687 0.7887 0.5000 [8 per cell]